Computed, not measured: a relaxed structure of Ta2BeCl at the PBE level of DFT.

a b c (Å): 4.8718 4.8718 4.6784
angles (deg): 77.08 77.08 34.50
Last column: nearest neighbours and their distance in Å.
Positions (direct):
Cl 0.2514 0.2514 0.2172  5 Ta 2.59-2.72, 2 Cl 2.89
Ta 0.7623 0.7623 0.6711  3 Be 2.54-2.65, 2 Cl 2.59
Ta 0.9926 0.9926 0.0403  4 Be 2.62-2.88, 3 Cl 2.63-2.72, 2 Ta 2.89
Be 0.4936 0.4936 0.5714  5 Ta 2.54-2.65

Uncorrected energy = -6.933 eV per atom
Formation energy from raw total energies = 387 meV/atom
ΔE to the lowest computed polymorph = 27.6 kJ/mol of atoms
Density of states at the Fermi level = 2.00 states/eV/f.u.

---

Computed, not measured: a relaxed structure of BaSr2Ge2 at the PBE level of DFT.

a b c (Å): 5.1299 5.1299 7.5709
angles (deg): 70.20 70.20 90.00
Last column: nearest neighbours and their distance in Å.
Positions (direct):
Sr 0.7500 0.2500 0.5000  4 Ge 3.30, 4 Sr 3.63
Sr 0.2500 0.7500 0.5000  4 Ge 3.30, 4 Sr 3.63
Ge 0.5943 0.5943 0.8113  1 Ge 2.51
Ge 0.4057 0.4057 0.1887  1 Ge 2.51
Ba 0.0000 0.0000 0.0000  8 Ge 3.84, 8 Sr 4.20

Uncorrected energy = -3.301 eV per atom
ΔE to the lowest computed polymorph = 5.4 kJ/mol of atoms
Density of states at the Fermi level = 3.88 states/eV/f.u.

---

Computed, not measured: a relaxed structure of Ag5Br5Cl2 at the PBE level of DFT.

a b c (Å): 3.8802 6.9191 14.3014
angles (deg): 91.03 66.27 73.71
Last column: nearest neighbours and their distance in Å.
Positions (direct):
Br 0.0000 0.5000 0.5000  4 Ag 2.81
Br 0.4910 0.7965 0.0742  3 Ag 2.63-2.90
Br 0.5090 0.2035 0.9258  3 Ag 2.63-2.90
Br 0.4918 0.9343 0.3591  4 Ag 2.75-2.83
Br 0.5082 0.0657 0.6409  4 Ag 2.75-2.83
Ag 0.0000 0.0000 0.0000  4 Br 2.63
Ag 0.7738 0.2261 0.4076  1 Cl 2.70, 4 Br 2.75-2.81
Ag 0.2262 0.7739 0.5924  1 Cl 2.70, 4 Br 2.75-2.81
Ag 0.2620 0.6506 0.2719  2 Cl 2.57, 2 Br 2.82-2.83
Ag 0.7380 0.3494 0.7281  2 Cl 2.57, 2 Br 2.82-2.83
Cl 0.9464 0.3977 0.2328  3 Ag 2.57-2.70
Cl 0.0536 0.6023 0.7672  3 Ag 2.57-2.70

Uncorrected energy = -2.495 eV per atom
Formation energy from raw total energies = -302 meV/atom
Density of states at the Fermi level = 10.18 states/eV/f.u.

---

Computed, not measured: a relaxed structure of YZnC3 at the PBE level of DFT.

a b c (Å): 3.9952 3.9952 3.9952
angles (deg): 90.00 90.00 90.00
Last column: nearest neighbours and their distance in Å.
Positions (direct):
Zn 0.0000 0.0000 0.0000  6 C 2.00
C 0.0000 0.5000 0.0000  2 Zn 2.00
C 0.0000 0.0000 0.5000  2 Zn 2.00
C 0.5000 0.0000 0.0000  2 Zn 2.00
Y 0.5000 0.5000 0.5000  12 C 2.83

Uncorrected energy = -5.353 eV per atom
ΔE to the lowest computed polymorph = 0.0 kJ/mol of atoms
Density of states at the Fermi level = 2.75 states/eV/f.u.